(1)
DFT (PBE-GGA) results for a relaxed structure of CaPd2W.

POSCAR file:
```
CaPd2W
1.0
-2.464 2.464 8.304
2.464 -2.464 8.304
2.464 2.464 -8.304
Ca Pd W
2 4 2
Cartesian
0.000 0.000 0.000
0.000 2.464 4.152
1.232 -0.503 6.228
1.961 1.232 2.076
1.232 2.967 -2.076
0.503 1.232 10.380
2.464 0.000 4.152
0.000 0.000 8.304
```

Results
ΔH_f (0 K)	0.69	eV/atom
SG	I-42d, No. 122
relative energy among the computed polymorphs	442	meV per atom

(2)
DFT (PBE-GGA) results for a relaxed structure of In2GaHPb.

POSCAR file:
```
In2GaHPb
1.0
5.688 0.000 0.000
0.000 5.688 0.000
0.000 0.000 3.510
In Ga H Pb
2 1 1 1
Cartesian
0.000 2.844 0.000
2.844 0.000 0.000
0.000 0.000 0.000
0.000 0.000 1.755
2.844 2.844 1.755
```

Results
SG	P4/mmm, No. 123
relative energy among the computed polymorphs	0	meV per atom

(3)
DFT (PBE-GGA) results for a relaxed structure of Sr3Pa3CdN8.

POSCAR file:
```
Sr3Pa3CdN8
1.0
3.554 2.052 5.975
-3.554 2.052 5.975
0.000 -4.104 5.975
Sr Pa Cd N
3 3 1 8
Cartesian
-1.777 -1.026 5.975
-1.777 1.026 11.951
0.000 2.052 5.975
-3.554 0.000 8.963
-1.777 1.026 2.988
1.777 1.026 2.988
0.000 0.000 8.963
-1.896 -1.095 10.118
0.000 0.000 4.231
0.000 -2.189 7.808
-1.896 1.095 7.808
1.896 -1.095 10.118
0.000 2.189 10.118
0.000 0.000 13.695
1.896 1.095 7.808
```

Results
SG	R-3m, No. 166
E_form (uncorrected)	-0.98	eV/atom

(4)
DFT (PBE-GGA) results for a relaxed structure of MnIn2SiSe6.

POSCAR file:
```
MnIn2SiSe6
1.0
6.367 -5.844 0.000
6.367 5.844 0.000
-1.003 0.000 6.786
Mn In Si Se
2 4 2 12
Cartesian
5.615 4.816 5.089
6.116 -4.816 1.696
3.408 1.115 4.879
3.909 -1.115 1.486
7.822 1.115 5.299
8.323 -1.115 1.906
6.116 2.988 1.696
5.615 -2.988 5.089
0.759 1.045 4.232
3.948 3.221 6.323
1.260 -1.045 0.839
4.253 1.356 2.373
7.282 3.221 3.856
3.751 -1.356 5.766
7.980 1.356 1.020
4.449 -3.221 2.930
7.478 -1.356 4.413
10.471 1.045 5.947
7.784 -3.221 0.463
10.972 -1.045 2.554
```

Results
SG	C2/c, No. 15
E_form (uncorrected)	-0.35	eV/atom

Total DFT energy (no corrections) list, top to bottom, in eV per atom: -5.647; -2.931; -7.719; -4.444
Total magnetic moment list, top to bottom, in μB/f.u.: 0.0; 0.0; 0.7; 4.9